No. 1
## Ti2GePt8 (PBE-GGA)

Data for a geometry-optimized Ti2GePt8 structure.

abc: 4.4895 5.7272 13.6074
angles: 90.00 90.00 90.00
Space group Immm (No. 71)
Unique sites:
Ti 0.0000 0.0000 0.1889
Ge 0.0000 0.0000 0.5000
Pt 0.0000 0.2404 0.0000
Pt 0.0000 0.2624 0.3614
Pt 0.0000 0.5000 0.1852

Computed properties:
Volume ... 15.90 Å³/atom
Mass density ... 16.41 g/cm3
Energy of formation from the pure elements ... -7.398 eV per formula unit
Uncorrected energy ... -6.92 eV per atom

***

No. 2
## Ti8Ge2Pt (PBE-GGA)

Data for a geometry-optimized Ti8Ge2Pt structure.

abc: 14.1770 4.1812 6.7700
angles: 90.00 115.62 90.00
Space group C2/m (No. 12)
Unique sites:
Ti 0.0335 0.0000 0.2795
Ti 0.0864 0.5000 0.9461
Ti 0.1731 0.0000 0.7523
Ti 0.1727 0.5000 0.4101
Ge 0.1951 0.0000 0.1651
Pt 0.0000 0.5000 0.5000

Computed properties:
Volume ... 16.45 Å³/atom
Mass density ... 6.64 g/cm3
Energy of formation from the pure elements ... -4.994 eV per formula unit
Uncorrected energy ... -7.58 eV per atom

***

No. 3
## TiGePt2 (PBE-GGA)

Data for a geometry-optimized TiGePt2 structure.

abc: 3.4243 3.4243 5.4765
angles: 90.00 90.00 90.00
Space group P4/mmm (No. 123)
Unique sites:
Ti 0.0000 0.0000 0.0000
Ge 0.0000 0.0000 0.5000
Pt 0.5000 0.5000 0.2429

Computed properties:
Volume ... 16.05 Å³/atom
Mass density ... 13.21 g/cm3
Energy of formation from the pure elements ... -2.668 eV per formula unit
Uncorrected energy ... -6.82 eV per atom

***

No. 4
## TiGePt (PBE-GGA)

Data for a geometry-optimized TiGePt structure.

abc: 3.4763 3.4763 8.0671
angles: 90.00 90.00 90.00
Space group I4mm (No. 107)
Unique sites:
Ti 0.0000 0.0000 0.0000
Ge 0.0000 0.0000 0.6738
Pt 0.0000 0.0000 0.3428

Computed properties:
Volume ... 16.25 Å³/atom
Mass density ... 10.75 g/cm3
Energy of formation from the pure elements ... -1.464 eV per formula unit
Uncorrected energy ... -6.67 eV per atom

***

No. 5
## TiGe2Pt2 (PBE-GGA)

Data for a geometry-optimized TiGe2Pt2 structure.

abc: 7.1597 7.1597 3.2969
angles: 90.00 90.00 90.00
Space group P4/mbm (No. 127)
Unique sites:
Ti 0.0000 0.0000 0.0000
Ge 0.1692 0.3308 0.5000
Pt 0.1365 0.6365 0.0000

Computed properties:
Volume ... 16.90 Å³/atom
Mass density ... 11.46 g/cm3
Energy of formation from the pure elements ... -1.343 eV per formula unit
Uncorrected energy ... -6.11 eV per atom

***

No. 6
## TiGe2Pt2 (PBE-GGA)

Data for a geometry-optimized TiGe2Pt2 structure.

abc: 7.3003 7.3003 3.0571
angles: 90.00 90.00 90.00
Space group P4/mbm (No. 127)
Unique sites:
Ti 0.0000 0.0000 0.0000
Ge 0.1510 0.3490 0.0000
Pt 0.1498 0.6498 0.5000

Computed properties:
Volume ... 16.29 Å³/atom
Mass density ... 11.89 g/cm3
Energy of formation from the pure elements ... -1.664 eV per formula unit
Uncorrected energy ... -6.18 eV per atom

***

> What is the formula in the fourth record?

TiGePt

***

> Which formula does entry 6 have?

TiGe2Pt2